Run i
# Sn2MoAu (PBE, relaxed)
# Space group   No. 225
# Total magnetization   0.202 μB per atom
data_Sn2MoAu
_cell_length_a 4.840
_cell_length_b 4.840
_cell_length_c 4.840
_cell_angle_alpha 60.00
_cell_angle_beta 60.00
_cell_angle_gamma 60.00
_symmetry_space_group_name_H-M 'P 1'
_symmetry_Int_Tables_number 1
_symmetry_space_group_name_Hall 'P 1'
loop_
_atom_site_label
_atom_site_type_symbol
_atom_site_fract_x
_atom_site_fract_y
_atom_site_fract_z
Sn1 Sn 0.750 0.750 0.750
Au1 Au 0.500 0.500 0.500
Mo1 Mo 0.000 0.000 0.000
Sn2 Sn 0.250 0.250 0.250

***

Run ii
# Sn2MoAu (PBE, relaxed)
# Space group   No. 122
# Total magnetization   0.571 μB per atom
data_Sn2MoAu
_cell_length_a 7.636
_cell_length_b 7.636
_cell_length_c 6.203
_cell_angle_alpha 52.01
_cell_angle_beta 52.01
_cell_angle_gamma 90.00
_symmetry_space_group_name_H-M 'P 1'
_symmetry_Int_Tables_number 1
_symmetry_space_group_name_Hall 'P 1'
loop_
_atom_site_label
_atom_site_type_symbol
_atom_site_fract_x
_atom_site_fract_y
_atom_site_fract_z
Mo1 Mo 0.250 0.750 0.500
Sn1 Sn 0.119 0.625 0.250
Sn2 Sn 0.875 0.881 0.750
Sn3 Sn 0.631 0.125 0.250
Sn4 Sn 0.375 0.369 0.750
Mo2 Mo 0.500 0.500 0.000
Au1 Au 0.000 0.000 0.000
Au2 Au 0.750 0.250 0.500

***

Computed energies relative to the best structure, in meV per atom: run i 0; run ii 121

***

Run i
# SrMoAu (PBE, relaxed)
# Space group   No. 187
# Total magnetization   0.867 μB per atom
data_SrMoAu
_cell_length_a 4.641
_cell_length_b 4.641
_cell_length_c 4.222
_cell_angle_alpha 90.00
_cell_angle_beta 90.00
_cell_angle_gamma 120.00
_symmetry_space_group_name_H-M 'P 1'
_symmetry_Int_Tables_number 1
_symmetry_space_group_name_Hall 'P 1'
loop_
_atom_site_label
_atom_site_type_symbol
_atom_site_fract_x
_atom_site_fract_y
_atom_site_fract_z
Sr1 Sr 0.333 0.667 0.667
Au1 Au 0.000 0.000 0.167
Mo1 Mo 0.667 0.333 0.167

***

Run ii
# SrMoAu (PBE, relaxed)
# Space group   No. 216
# Total magnetization   1.650 μB per atom
data_SrMoAu
_cell_length_a 5.157
_cell_length_b 5.157
_cell_length_c 5.157
_cell_angle_alpha 60.00
_cell_angle_beta 60.00
_cell_angle_gamma 60.00
_symmetry_space_group_name_H-M 'P 1'
_symmetry_Int_Tables_number 1
_symmetry_space_group_name_Hall 'P 1'
loop_
_atom_site_label
_atom_site_type_symbol
_atom_site_fract_x
_atom_site_fract_y
_atom_site_fract_z
Au1 Au 0.000 0.000 0.000
Mo1 Mo 0.500 0.500 0.500
Sr1 Sr 0.750 0.750 0.750

***

Run iii
# SrMoAu (PBE, relaxed)
# Space group   No. 216
# Total magnetization   1.416 μB per atom
data_SrMoAu
_cell_length_a 4.984
_cell_length_b 4.984
_cell_length_c 4.984
_cell_angle_alpha 60.00
_cell_angle_beta 60.00
_cell_angle_gamma 60.00
_symmetry_space_group_name_H-M 'P 1'
_symmetry_Int_Tables_number 1
_symmetry_space_group_name_Hall 'P 1'
loop_
_atom_site_label
_atom_site_type_symbol
_atom_site_fract_x
_atom_site_fract_y
_atom_site_fract_z
Mo1 Mo 0.000 0.000 0.000
Sr1 Sr 0.500 0.500 0.500
Au1 Au 0.750 0.750 0.750

***

Run iv
# SrMoAu (PBE, relaxed)
# Space group   No. 156
# Total magnetization   0.000 μB per atom
data_SrMoAu
_cell_length_a 3.183
_cell_length_b 3.183
_cell_length_c 7.524
_cell_angle_alpha 90.00
_cell_angle_beta 90.00
_cell_angle_gamma 120.00
_symmetry_space_group_name_H-M 'P 1'
_symmetry_Int_Tables_number 1
_symmetry_space_group_name_Hall 'P 1'
loop_
_atom_site_label
_atom_site_type_symbol
_atom_site_fract_x
_atom_site_fract_y
_atom_site_fract_z
Mo1 Mo 0.333 0.667 0.310
Sr1 Sr 0.667 0.333 0.664
Au1 Au 0.000 0.000 0.026

***

Computed energies relative to the best structure, in meV per atom: run i 0; run ii 796; run iii 243; run iv 330

***

Run i
# TaMo3Au (PBE, relaxed)
# Space group   No. 221
# Total magnetization   0.000 μB per atom
data_TaMo3Au
_cell_length_a 4.748
_cell_length_b 4.748
_cell_length_c 4.748
_cell_angle_alpha 90.00
_cell_angle_beta 90.00
_cell_angle_gamma 90.00
_symmetry_space_group_name_H-M 'P 1'
_symmetry_Int_Tables_number 1
_symmetry_space_group_name_Hall 'P 1'
loop_
_atom_site_label
_atom_site_type_symbol
_atom_site_fract_x
_atom_site_fract_y
_atom_site_fract_z
Ta1 Ta 0.000 0.000 0.000
Mo1 Mo 0.000 0.500 0.000
Mo2 Mo 0.500 0.000 0.000
Mo3 Mo 0.000 0.000 0.500
Au1 Au 0.500 0.500 0.500

***

Run ii
# TaMo3Au (PBE, relaxed)
# Space group   No. 221
# Total magnetization   0.000 μB per atom
data_TaMo3Au
_cell_length_a 4.780
_cell_length_b 4.780
_cell_length_c 4.780
_cell_angle_alpha 90.00
_cell_angle_beta 90.00
_cell_angle_gamma 90.00
_symmetry_space_group_name_H-M 'P 1'
_symmetry_Int_Tables_number 1
_symmetry_space_group_name_Hall 'P 1'
loop_
_atom_site_label
_atom_site_type_symbol
_atom_site_fract_x
_atom_site_fract_y
_atom_site_fract_z
Mo1 Mo 0.500 0.000 0.000
Ta1 Ta 0.500 0.500 0.500
Au1 Au 0.000 0.000 0.000
Mo2 Mo 0.000 0.000 0.500
Mo3 Mo 0.000 0.500 0.000

***

Computed energies relative to the best structure, in meV per atom: run i 0; run ii 518

***

Run i
# TcMoAu2 (PBE, relaxed)
# Space group   No. 122
# Total magnetization   0.000 μB per atom
data_TcMoAu2
_cell_length_a 5.807
_cell_length_b 5.807
_cell_length_c 7.061
_cell_angle_alpha 65.72
_cell_angle_beta 65.72
_cell_angle_gamma 90.00
_symmetry_space_group_name_H-M 'P 1'
_symmetry_Int_Tables_number 1
_symmetry_space_group_name_Hall 'P 1'
loop_
_atom_site_label
_atom_site_type_symbol
_atom_site_fract_x
_atom_site_fract_y
_atom_site_fract_z
Au1 Au 0.875 0.878 0.750
Tc1 Tc 0.000 0.000 0.000
Mo1 Mo 0.500 0.500 0.000
Au2 Au 0.375 0.372 0.750
Tc2 Tc 0.750 0.250 0.500
Au3 Au 0.122 0.625 0.250
Au4 Au 0.628 0.125 0.250
Mo2 Mo 0.250 0.750 0.500

***

Run ii
# TcMoAu2 (PBE, relaxed)
# Space group   No. 123
# Total magnetization   0.000 μB per atom
data_TcMoAu2
_cell_length_a 3.476
_cell_length_b 3.476
_cell_length_c 5.511
_cell_angle_alpha 90.00
_cell_angle_beta 90.00
_cell_angle_gamma 90.00
_symmetry_space_group_name_H-M 'P 1'
_symmetry_Int_Tables_number 1
_symmetry_space_group_name_Hall 'P 1'
loop_
_atom_site_label
_atom_site_type_symbol
_atom_site_fract_x
_atom_site_fract_y
_atom_site_fract_z
Au1 Au 0.000 0.000 0.501
Mo1 Mo 0.500 0.500 0.250
Tc1 Tc 0.500 0.500 0.750
Au2 Au 0.000 0.000 0.999

***

Computed energies relative to the best structure, in meV per atom: run i 1170; run ii 0

***

Run i
# TcMoAu2 (PBE, relaxed)
# Space group   No. 8
# Total magnetization   0.000 μB per atom
data_TcMoAu2
_cell_length_a 4.930
_cell_length_b 4.930
_cell_length_c 5.141
_cell_angle_alpha 83.40
_cell_angle_beta 83.40
_cell_angle_gamma 31.94
_symmetry_space_group_name_H-M 'P 1'
_symmetry_Int_Tables_number 1
_symmetry_space_group_name_Hall 'P 1'
loop_
_atom_site_label
_atom_site_type_symbol
_atom_site_fract_x
_atom_site_fract_y
_atom_site_fract_z
Mo1 Mo 0.496 0.496 0.483
Tc1 Tc 0.255 0.255 0.268
Au1 Au 0.998 0.998 0.996
Au2 Au 0.751 0.751 0.753

***

Run ii
# TcMoAu2 (PBE, relaxed)
# Space group   No. 99
# Total magnetization   0.000 μB per atom
data_TcMoAu2
_cell_length_a 3.317
_cell_length_b 3.317
_cell_length_c 6.083
_cell_angle_alpha 90.00
_cell_angle_beta 90.00
_cell_angle_gamma 90.00
_symmetry_space_group_name_H-M 'P 1'
_symmetry_Int_Tables_number 1
_symmetry_space_group_name_Hall 'P 1'
loop_
_atom_site_label
_atom_site_type_symbol
_atom_site_fract_x
_atom_site_fract_y
_atom_site_fract_z
Au1 Au 0.500 0.500 0.254
Tc1 Tc 0.500 0.500 0.722
Mo1 Mo 0.000 0.000 0.528
Au2 Au 0.000 0.000 0.996

***

Run iii
# TcMoAu2 (PBE, relaxed)
# Space group   No. 47
# Total magnetization   0.000 μB per atom
data_TcMoAu2
_cell_length_a 4.373
_cell_length_b 2.741
_cell_length_c 6.097
_cell_angle_alpha 63.27
_cell_angle_beta 90.00
_cell_angle_gamma 90.00
_symmetry_space_group_name_H-M 'P 1'
_symmetry_Int_Tables_number 1
_symmetry_space_group_name_Hall 'P 1'
loop_
_atom_site_label
_atom_site_type_symbol
_atom_site_fract_x
_atom_site_fract_y
_atom_site_fract_z
Tc1 Tc 0.500 0.750 0.750
Au1 Au 0.000 0.000 0.000
Au2 Au 0.000 0.500 0.500
Mo1 Mo 0.500 0.250 0.250

***

Computed energies relative to the best structure, in meV per atom: run i 58; run ii 0; run iii 102

***

Run i
# TcMo2Au (PBE, relaxed)
# Space group   No. 65
# Total magnetization   0.000 μB per atom
data_TcMo2Au
_cell_length_a 2.725
_cell_length_b 2.725
_cell_length_c 9.019
_cell_angle_alpha 90.00
_cell_angle_beta 90.00
_cell_angle_gamma 106.54
_symmetry_space_group_name_H-M 'P 1'
_symmetry_Int_Tables_number 1
_symmetry_space_group_name_Hall 'P 1'
loop_
_atom_site_label
_atom_site_type_symbol
_atom_site_fract_x
_atom_site_fract_y
_atom_site_fract_z
Au1 Au 0.500 0.500 0.750
Tc1 Tc 0.500 0.500 0.250
Mo1 Mo 0.000 0.000 0.014
Mo2 Mo 0.000 0.000 0.486

***

Run ii
# TcMo2Au (PBE, relaxed)
# Space group   No. 10
# Total magnetization   0.000 μB per atom
data_TcMo2Au
_cell_length_a 3.976
_cell_length_b 2.842
_cell_length_c 6.336
_cell_angle_alpha 63.46
_cell_angle_beta 90.00
_cell_angle_gamma 90.00
_symmetry_space_group_name_H-M 'P 1'
_symmetry_Int_Tables_number 1
_symmetry_space_group_name_Hall 'P 1'
loop_
_atom_site_label
_atom_site_type_symbol
_atom_site_fract_x
_atom_site_fract_y
_atom_site_fract_z
Mo1 Mo 0.000 0.975 0.027
Tc1 Tc 0.500 0.250 0.250
Mo2 Mo 0.000 0.525 0.473
Au1 Au 0.500 0.750 0.750

***

Run iii
# TcMo2Au (PBE, relaxed)
# Space group   No. 123
# Total magnetization   0.000 μB per atom
data_TcMo2Au
_cell_length_a 2.792
_cell_length_b 2.792
_cell_length_c 8.215
_cell_angle_alpha 90.00
_cell_angle_beta 90.00
_cell_angle_gamma 90.00
_symmetry_space_group_name_H-M 'P 1'
_symmetry_Int_Tables_number 1
_symmetry_space_group_name_Hall 'P 1'
loop_
_atom_site_label
_atom_site_type_symbol
_atom_site_fract_x
_atom_site_fract_y
_atom_site_fract_z
Tc1 Tc 0.500 0.500 0.250
Mo1 Mo 0.000 0.000 0.479
Au1 Au 0.500 0.500 0.750
Mo2 Mo 0.000 0.000 0.021

***

Computed energies relative to the best structure, in meV per atom: run i 70; run ii 0; run iii 22

***

Run i
# TcMoAu (PBE, relaxed)
# Space group   No. 156
# Total magnetization   0.000 μB per atom
data_TcMoAu
_cell_length_a 4.550
_cell_length_b 4.550
_cell_length_c 2.689
_cell_angle_alpha 90.00
_cell_angle_beta 90.00
_cell_angle_gamma 120.00
_symmetry_space_group_name_H-M 'P 1'
_symmetry_Int_Tables_number 1
_symmetry_space_group_name_Hall 'P 1'
loop_
_atom_site_label
_atom_site_type_symbol
_atom_site_fract_x
_atom_site_fract_y
_atom_site_fract_z
Au1 Au 0.000 0.000 0.001
Mo1 Mo 0.667 0.333 0.397
Tc1 Tc 0.333 0.667 0.602

***

Run ii
# TcMoAu (PBE, relaxed)
# Space group   No. 107
# Total magnetization   0.000 μB per atom
data_TcMoAu
_cell_length_a 6.395
_cell_length_b 6.395
_cell_length_c 6.395
_cell_angle_alpha 154.50
_cell_angle_beta 154.50
_cell_angle_gamma 36.37
_symmetry_space_group_name_H-M 'P 1'
_symmetry_Int_Tables_number 1
_symmetry_space_group_name_Hall 'P 1'
loop_
_atom_site_label
_atom_site_type_symbol
_atom_site_fract_x
_atom_site_fract_y
_atom_site_fract_z
Au1 Au 0.001 0.001 0.000
Mo1 Mo 0.323 0.323 0.000
Tc1 Tc 0.676 0.676 0.000

***

Computed energies relative to the best structure, in meV per atom: run i 10; run ii 0

***

Run i
# TcMoAu (PBE, relaxed)
# Space group   No. 216
# Total magnetization   0.000 μB per atom
data_TcMoAu
_cell_length_a 4.308
_cell_length_b 4.308
_cell_length_c 4.308
_cell_angle_alpha 60.00
_cell_angle_beta 60.00
_cell_angle_gamma 60.00
_symmetry_space_group_name_H-M 'P 1'
_symmetry_Int_Tables_number 1
_symmetry_space_group_name_Hall 'P 1'
loop_
_atom_site_label
_atom_site_type_symbol
_atom_site_fract_x
_atom_site_fract_y
_atom_site_fract_z
Mo1 Mo 0.750 0.750 0.750
Tc1 Tc 0.000 0.000 0.000
Au1 Au 0.500 0.500 0.500

***

Run ii
# TcMoAu (PBE, relaxed)
# Space group   No. 11
# Total magnetization   0.000 μB per atom
data_TcMoAu
_cell_length_a 5.945
_cell_length_b 6.588
_cell_length_c 6.589
_cell_angle_alpha 57.07
_cell_angle_beta 77.84
_cell_angle_gamma 77.83
_symmetry_space_group_name_H-M 'P 1'
_symmetry_Int_Tables_number 1
_symmetry_space_group_name_Hall 'P 1'
loop_
_atom_site_label
_atom_site_type_symbol
_atom_site_fract_x
_atom_site_fract_y
_atom_site_fract_z
Au1 Au 0.817 0.844 0.594
Mo1 Mo 0.162 0.420 0.670
Au2 Au 0.184 0.656 0.906
Mo2 Mo 0.838 0.080 0.830
Mo3 Mo 0.162 0.920 0.170
Mo4 Mo 0.838 0.580 0.330
Tc1 Tc 0.584 0.961 0.211
Tc2 Tc 0.416 0.539 0.289
Tc3 Tc 0.416 0.039 0.789
Au3 Au 0.816 0.344 0.094
Tc4 Tc 0.584 0.461 0.711
Au4 Au 0.183 0.156 0.406

***

Computed energies relative to the best structure, in meV per atom: run i 382; run ii 0